Here is a relaxed TeRuAu3 crystal from Alexandria via LeMat-Bulk. Energies are from PBE.

Cell and atoms, written as POSCAR:
```
TeRuAu3
1.0
5.163 0.000 0.000
0.000 5.163 0.000
0.000 0.000 5.163
Ru Te Au
1 1 3
Direct
0.500 0.500 0.500 Ru
0.000 0.000 0.000 Te
0.000 0.500 0.000 Au
0.000 0.000 0.500 Au
0.500 0.000 0.000 Au
```

* density of states at the Fermi level: 5.9 states/eV/f.u.
* symmetry: Pm-3m (221)
* volume: 138 Å³/f.u.
* raw total energy: -3.107 eV/atom
* formation energy (no corrections): 1343 meV/atom
* energy above the lowest structure with this stoichiometry: 25.9 kJ/mol of atoms

=====

Here is a relaxed Te2RuAu crystal from Alexandria via LeMat-Bulk. Energies are from PBE.

Cell and atoms, written as POSCAR:
```
Te2RuAu
1.0
-2.711 1.928 -3.578
-3.268 -3.591 0.542
-1.704 1.901 2.316
Au Ru Te
1 1 2
Direct
0.500 0.000 0.500 Au
0.000 0.500 0.500 Ru
0.000 0.000 0.000 Te
0.500 0.500 0.000 Te
```

* density of states at the Fermi level: 3.7 states/eV/f.u.
* symmetry: P4/mmm (123)
* volume: 82 Å³/f.u.
* raw total energy: -4.242 eV/atom
* formation energy (no corrections): 467 meV/atom
* energy above the lowest structure with this stoichiometry: 48.4 kJ/mol of atoms